Here is a geometry-optimized LaNbAsO structure from the Open Quantum Materials Database. Energies are from PBE.

Calculated values
- Relative energy among the computed polymorphs: 1.227 eV/atom

abc: 3.979 3.979 8.869
angles: 90.00 90.00 90.00
Fractional positions:
As 0.750 0.750 0.240
As 0.250 0.250 0.760
La 0.750 0.250 0.500
La 0.250 0.750 0.500
Nb 0.250 0.250 0.117
Nb 0.750 0.750 0.883
O 0.750 0.250 0.000
O 0.250 0.750 0.000

Here is a geometry-optimized LaNd2As3 structure from the Open Quantum Materials Database. Energies are from PBE.

Calculated values
- Final energy: -6.268 eV/atom

abc: 4.303 4.303 10.549
angles: 90.00 90.00 120.00
Fractional positions:
As 0.000 0.000 0.000
As 0.333 0.667 0.330
As 0.667 0.333 0.670
La 0.000 0.000 0.500
Nd 0.667 0.333 0.164
Nd 0.333 0.667 0.836

Number 1: magnetic moment 0.00 μB per formula unit. Number 2: magnetic moment 0.00 μB per formula unit.